A geometry-optimized PmH2 structure, computed with PBE-GGA.

extended XYZ file:
```
6
Lattice="3.3660 1.9434 5.4967 -3.3660 1.9434 5.4967 0.0000 -3.8867 5.4967" Properties=species:S:1:pos:R:3 pbc="T T T"
H 1.6830 0.9717 8.9321
H 0.0000 -1.9434 8.9321
H 0.0000 0.0000 6.1838
H -1.6830 0.9717 8.9321
Pm 0.0000 0.0000 4.1225
Pm 0.0000 0.0000 8.2450
```

Values from the calculation:
Calculated total energy, eV per atom: -3.661
Symmetry: Fd-3m
M_tot, μB/atom: 0.324